Material: HfReOs3
Method: DFT, PBE-GGA
State: optimized geometry

Its energy above the lowest structure with this stoichiometry is 0.000 eV/atom. The calculation puts the density of states at the Fermi level at 1.0859 states/eV/atom. The calculation puts the formation enthalpy at 0 K at 1.64 eV per atom. Its total magnetization is 0.00 μB/f.u. For the total energy, the calculation gives -47.9 eV/f.u.

The space group is Pm-3m (No. 221) and the conventional cell measures 4.6794, 4.6794 and 4.6794 Å, with angles of 90.00, 90.00 and 90.00 degrees. Symmetry generates all atoms from Hf at (0.0000, 0.0000, 0.0000), Re at (0.5000, 0.5000, 0.5000) and Os at (0.0000, 0.5000, 0.5000).